First-principles (meta-GGA SCAN) data for a PBEsol-optimized structure of SrSiSnP2, as listed in the Alexandria database.

Cell and atoms, written as CIF:
```
data_SrSiSnP2
_chemical_formula_sum 'Sr1 Si1 Sn1 P2'
_cell_length_a 4.962
_cell_length_b 4.962
_cell_length_c 5.956
_cell_angle_alpha 90.00
_cell_angle_beta 90.00
_cell_angle_gamma 90.00
_space_group_name_H-M_alt 'P 4/m m m'
_space_group_IT_number 123
_space_group_name_Hall '-P 4 2'
loop_
_atom_site_label
_atom_site_type_symbol
_atom_site_fract_x
_atom_site_fract_y
_atom_site_fract_z
Sr1 Sr 0.000 0.000 0.000
Si1 Si 0.500 0.500 0.000
Sn1 Sn 0.000 0.000 0.500
P1 P 0.000 0.500 0.500
```

## Properties
Spin magnetization = 0.00 μB per formula unit
Uncorrected formation energy = 967 meV per atom
N(E_F) = 3.17 states/eV/cell